#one
# HgIrBr (PBE, relaxed)
data_HgIrBr
_space_group_name_H-M_alt 'I 4 m m'
_space_group_IT_number 107
_space_group_name_Hall 'I 4 -2'
_cell_length_a 3.187
_cell_length_b 3.187
_cell_length_c 12.599
_cell_angle_alpha 90.00
_cell_angle_beta 90.00
_cell_angle_gamma 90.00
loop_
_atom_site_label
_atom_site_type_symbol
_atom_site_fract_x
_atom_site_fract_y
_atom_site_fract_z
_atom_site_occupancy
Hg1 Hg 0.000 0.000 0.000 1
Ir1 Ir 0.000 0.000 0.635 1
Br1 Br 0.000 0.000 0.276 1
# - Magnetic moment: 0.00 μB/atom
# - DOS at the Fermi energy: 7.4 states/eV per cell
# - Calculated volume: 21.32 A^3/atom

---

#two
# HgIrBr (PBE, relaxed)
data_HgIrBr
_space_group_name_H-M_alt 'F -4 3 m'
_space_group_IT_number 216
_space_group_name_Hall 'F -4 2 3'
_cell_length_a 6.480
_cell_length_b 6.480
_cell_length_c 6.480
_cell_angle_alpha 90.00
_cell_angle_beta 90.00
_cell_angle_gamma 90.00
loop_
_atom_site_label
_atom_site_type_symbol
_atom_site_fract_x
_atom_site_fract_y
_atom_site_fract_z
_atom_site_occupancy
Hg1 Hg 0.000 0.000 0.000 1
Ir1 Ir 0.250 0.250 0.250 1
Br1 Br 0.000 0.000 0.500 1
# - Magnetic moment: 0.00 μB/atom
# - DOS at the Fermi energy: 16.3 states/eV per cell
# - Calculated volume: 22.67 A^3/atom

---

Stability check: which of them is most stable? #one.

---

#one
# HgIrBr (PBE, relaxed)
data_HgIrBr
_space_group_name_H-M_alt 'P 3 m 1'
_space_group_IT_number 156
_space_group_name_Hall 'P 3 -2"'
_cell_length_a 3.4629
_cell_length_b 3.4629
_cell_length_c 6.1773
_cell_angle_alpha 90.00
_cell_angle_beta 90.00
_cell_angle_gamma 120.00
loop_
_atom_site_label
_atom_site_type_symbol
_atom_site_fract_x
_atom_site_fract_y
_atom_site_fract_z
_atom_site_occupancy
Hg1 Hg 0.0000 0.0000 0.0000 1
Ir1 Ir 0.6667 0.3333 0.3150 1
Br1 Br 0.3333 0.6667 0.5855 1
# - Magnetic moment: 0.00 μB/atom
# - DOS at the Fermi energy: 3.4 states/eV per cell
# - Calculated volume: 21.38 A^3/atom

---

#two
# HgIrBr (PBE, relaxed)
data_HgIrBr
_space_group_name_H-M_alt 'F -4 3 m'
_space_group_IT_number 216
_space_group_name_Hall 'F -4 2 3'
_cell_length_a 6.666
_cell_length_b 6.666
_cell_length_c 6.666
_cell_angle_alpha 90.00
_cell_angle_beta 90.00
_cell_angle_gamma 90.00
loop_
_atom_site_label
_atom_site_type_symbol
_atom_site_fract_x
_atom_site_fract_y
_atom_site_fract_z
_atom_site_occupancy
Hg1 Hg 0.000 0.000 0.000 1
Ir1 Ir 0.250 0.250 0.750 1
Br1 Br 0.250 0.250 0.250 1
# - Magnetic moment: 0.33 μB/atom
# - DOS at the Fermi energy: 14.6 states/eV per cell
# - Calculated volume: 24.68 A^3/atom

---

Stability check: which of them is most stable? #one.

---

#one
# HgIrBr (PBE, relaxed)
data_HgIrBr
_space_group_name_H-M_alt 'P -6 m 2'
_space_group_IT_number 187
_space_group_name_Hall 'P -6 2'
_cell_length_a 4.5654
_cell_length_b 4.5654
_cell_length_c 3.3362
_cell_angle_alpha 90.00
_cell_angle_beta 90.00
_cell_angle_gamma 120.00
loop_
_atom_site_label
_atom_site_type_symbol
_atom_site_fract_x
_atom_site_fract_y
_atom_site_fract_z
_atom_site_occupancy
Hg1 Hg 0.0000 0.0000 0.0000 1
Ir1 Ir 0.6667 0.3333 0.5000 1
Br1 Br 0.3333 0.6667 0.5000 1
# - Magnetic moment: 0.00 μB/atom
# - DOS at the Fermi energy: 2.7 states/eV per cell
# - Calculated volume: 20.07 A^3/atom

---

#two
# HgIrBr (PBE, relaxed)
data_HgIrBr
_space_group_name_H-M_alt 'F m m 2'
_space_group_IT_number 42
_space_group_name_Hall 'F 2 -2'
_cell_length_a 3.071
_cell_length_b 5.732
_cell_length_c 14.325
_cell_angle_alpha 90.00
_cell_angle_beta 90.00
_cell_angle_gamma 90.00
loop_
_atom_site_label
_atom_site_type_symbol
_atom_site_fract_x
_atom_site_fract_y
_atom_site_fract_z
_atom_site_occupancy
Hg1 Hg 0.000 0.000 0.000 1
Ir1 Ir 0.000 0.000 0.339 1
Br1 Br 0.000 0.000 0.697 1
# - Magnetic moment: 0.00 μB/atom
# - DOS at the Fermi energy: 14.2 states/eV per cell
# - Calculated volume: 21.01 A^3/atom

---

Stability check: which of them is most stable? #two.